[1]
! Cr4CoRu, relaxed, DFT GGA-PBEsol; values from VASP
&SYSTEM
  ibrav = 0, nat = 6, ntyp = 3
/
ATOMIC_SPECIES
Cr 52.00 Cr.upf
Co 58.93 Co.upf
Ru 101.07 Ru.upf
CELL_PARAMETERS angstrom
0.0000 3.2530 3.2530
3.2530 0.0000 3.2530
3.2530 3.2530 0.0000
ATOMIC_POSITIONS crystal
Cr 0.1242 0.1242 0.1242
Cr 0.1242 0.1242 0.6273
Cr 0.1242 0.6273 0.1242
Cr 0.6273 0.1242 0.1242
Co 0.7500 0.7500 0.7500
Ru 0.5000 0.5000 0.5000
! * mass density: 8.9 g/cm3
! * total energy: -58.1 eV per cell
! * N(E_F): 1.00 states/eV/atom

[2]
! KBaLa2Co, relaxed, DFT GGA-PBEsol; values from VASP
&SYSTEM
  ibrav = 0, nat = 5, ntyp = 4
/
ATOMIC_SPECIES
K 39.10 K.upf
Ba 137.33 Ba.upf
La 138.91 La.upf
Co 58.93 Co.upf
CELL_PARAMETERS angstrom
6.0131 0.0000 0.0000
0.0000 6.0131 0.0000
0.0000 0.0000 4.8732
ATOMIC_POSITIONS crystal
K 0.0000 0.0000 0.0000
Ba 0.5000 0.5000 0.5000
La 0.0000 0.5000 0.5000
La 0.5000 0.0000 0.5000
Co 0.5000 0.5000 0.0000
! * mass density: 4.8 g/cm3
! * total energy: -16.2 eV per cell
! * N(E_F): 1.61 states/eV/atom

[3]
! LiZrAg2, relaxed, DFT GGA-PBEsol; values from VASP
&SYSTEM
  ibrav = 0, nat = 4, ntyp = 3
/
ATOMIC_SPECIES
Li 6.94 Li.upf
Zr 91.22 Zr.upf
Ag 107.87 Ag.upf
CELL_PARAMETERS angstrom
1.4699 0.8486 9.4177
-1.4699 0.8486 9.4177
0.0000 -1.6973 9.4177
ATOMIC_POSITIONS crystal
Li 0.0000 0.0000 0.0000
Zr 0.5000 0.5000 0.5000
Ag 0.2553 0.2553 0.2553
Ag 0.7447 0.7447 0.7447
! * mass density: 7.4 g/cm3
! * total energy: -17.8 eV per cell
! * N(E_F): 0.50 states/eV/atom

[4]
! SrPAu2, relaxed, DFT GGA-PBEsol; values from VASP
&SYSTEM
  ibrav = 0, nat = 4, ntyp = 3
/
ATOMIC_SPECIES
Sr 87.62 Sr.upf
P 30.97 P.upf
Au 196.97 Au.upf
CELL_PARAMETERS angstrom
5.2039 -2.1699 0.0000
5.2039 2.1699 0.0000
-1.7962 0.0000 3.9508
ATOMIC_POSITIONS crystal
Sr 0.0000 0.0000 0.0000
P 0.7500 0.7500 0.2501
Au 0.3531 0.3531 0.3543
Au 0.6469 0.6469 0.6478
! * mass density: 9.5 g/cm3
! * total energy: -18.1 eV per cell
! * N(E_F): 0.50 states/eV/atom